1.
# GGA-PBE ZnPd3Pt, optimized geometry
# formation energy from the elements	-0.1638	eV/atom
# total DFT energy (no corrections)	-4.742	eV per atom
# density of states at the Fermi level	22.23	states/eV per cell
data_ZnPd3Pt
_symmetry_space_group_name_H-M 'P 1 21/c 1'
_symmetry_Int_Tables_number 14
_symmetry_space_group_name_Hall '-P 2ybc'
_cell_length_a 7.1053
_cell_length_b 7.4199
_cell_length_c 6.4952
_cell_angle_alpha 90.00
_cell_angle_beta 114.80
_cell_angle_gamma 90.00
loop_
_atom_site_label
_atom_site_fract_x
_atom_site_fract_y
_atom_site_fract_z
Zn1 0.2369 0.1560 0.0807
Pd1 0.0765 0.0363 0.3409
Pd2 0.3496 0.0077 0.7860
Pd3 0.4839 0.6756 0.9876
Pt1 0.1605 0.6980 0.5605



2.
# GGA-PBE ZnPd2Pt, optimized geometry
# formation energy from the elements	-0.2206	eV/atom
# total DFT energy (no corrections)	-4.646	eV per atom
# density of states at the Fermi level	15.68	states/eV per cell
data_ZnPd2Pt
_symmetry_space_group_name_H-M 'P n a 21'
_symmetry_Int_Tables_number 33
_symmetry_space_group_name_Hall 'P 2c -2n'
_cell_length_a 4.5776
_cell_length_b 7.5121
_cell_length_c 7.1786
_cell_angle_alpha 90.00
_cell_angle_beta 90.00
_cell_angle_gamma 90.00
loop_
_atom_site_label
_atom_site_fract_x
_atom_site_fract_y
_atom_site_fract_z
Zn1 0.1755 0.1557 0.0000
Pd1 0.1562 0.5322 0.9981
Pd2 0.1605 0.8516 0.8016
Pt1 0.1643 0.8476 0.1946



3.
# GGA-PBE ZnPdPt, optimized geometry
# formation energy from the elements	-0.3773	eV/atom
# total DFT energy (no corrections)	-4.547	eV per atom
# density of states at the Fermi level	9.20	states/eV per cell
data_ZnPdPt
_symmetry_space_group_name_H-M 'C 1 m 1'
_symmetry_Int_Tables_number 8
_symmetry_space_group_name_Hall 'C -2y'
_cell_length_a 8.9046
_cell_length_b 3.9135
_cell_length_c 5.5570
_cell_angle_alpha 90.00
_cell_angle_beta 112.07
_cell_angle_gamma 90.00
loop_
_atom_site_label
_atom_site_fract_x
_atom_site_fract_y
_atom_site_fract_z
Zn1 0.0000 0.0000 0.0000
Zn2 0.1727 0.5000 0.8102
Pd1 0.0072 0.0000 0.5004
Pd2 0.3475 0.0000 0.6674
Pt1 0.1627 0.5000 0.3098
Pt2 0.3247 0.0000 0.1456



4.
# GGA-PBE Zn4PdPt2, optimized geometry
# formation energy from the elements	-0.4786	eV/atom
# total DFT energy (no corrections)	-3.674	eV per atom
# density of states at the Fermi level	5.08	states/eV per cell
data_Zn4PdPt2
_symmetry_space_group_name_H-M 'I 4/m m m'
_symmetry_Int_Tables_number 139
_symmetry_space_group_name_Hall '-I 4 2'
_cell_length_a 6.2433
_cell_length_b 6.2433
_cell_length_c 5.7517
_cell_angle_alpha 90.00
_cell_angle_beta 90.00
_cell_angle_gamma 90.00
loop_
_atom_site_label
_atom_site_fract_x
_atom_site_fract_y
_atom_site_fract_z
Zn1 0.2500 0.2500 0.2500
Pd1 0.0000 0.0000 0.0000
Pt1 0.0000 0.5000 0.0000